#i
VASP calculation (GGA-PBE) on a relaxed structure of Na4SeO5.

Values from the calculation:
M_tot: 0.000 μB/atom

a b c (Å): 5.682 5.682 5.682
angles (deg): 101.02 101.02 128.14
Element x y z (fractional)
1 Na 0.104 0.293 0.397
2 Na 0.293 0.896 0.190
3 Na 0.707 0.104 0.810
4 Na 0.896 0.707 0.603
5 Se 0.541 0.541 0.000
6 O 0.240 0.546 0.834
7 O 0.406 0.240 0.693
8 O 0.546 0.713 0.307
9 O 0.713 0.406 0.166
10 O 0.889 0.889 0.000

***

#ii
VASP calculation (GGA-PBE) on a relaxed structure of Na4SeO5.

Values from the calculation:
M_tot: 0.000 μB/atom

a b c (Å): 5.678 10.004 10.026
angles (deg): 113.34 96.25 95.72
Element x y z (fractional)
1 Na 0.000 0.000 0.000
2 Na 0.002 0.398 0.600
3 Na 0.005 0.806 0.205
4 Na 0.245 0.553 0.938
5 Na 0.257 0.945 0.547
6 Na 0.267 0.359 0.157
7 Na 0.278 0.167 0.362
8 Na 0.494 0.900 0.095
9 Na 0.500 0.500 0.500
10 Na 0.506 0.100 0.905
11 Na 0.722 0.833 0.638
12 Na 0.733 0.641 0.843
13 Na 0.743 0.055 0.453
14 Na 0.755 0.447 0.062
15 Na 0.995 0.194 0.795
16 Na 0.998 0.602 0.400
17 Se 0.214 0.780 0.755
18 Se 0.485 0.296 0.733
19 Se 0.515 0.704 0.267
20 Se 0.786 0.220 0.245
21 O 0.050 0.351 0.342
22 O 0.118 0.946 0.772
23 O 0.136 0.774 0.926
24 O 0.210 0.608 0.191
25 O 0.215 0.191 0.602
26 O 0.326 0.729 0.585
27 O 0.381 0.317 0.896
28 O 0.397 0.876 0.316
29 O 0.412 0.454 0.708
30 O 0.479 0.158 0.153
31 O 0.521 0.842 0.847
32 O 0.588 0.546 0.292
33 O 0.603 0.124 0.684
34 O 0.619 0.683 0.104
35 O 0.674 0.271 0.415
36 O 0.785 0.809 0.398
37 O 0.790 0.392 0.809
38 O 0.864 0.226 0.074
39 O 0.882 0.054 0.228
40 O 0.950 0.649 0.658

***

Result of the stability comparison: #i is the least stable of them.

***

#i
VASP calculation (GGA-PBE) on a relaxed structure of Na2Se2O7.

Values from the calculation:
DOS(E_F): 0.000 states/eV per atom
M_tot: 0.000 μB/atom

a b c (Å): 7.106 7.224 7.256
angles (deg): 66.05 81.62 82.32
Element x y z (fractional)
1 Na 0.076 0.229 0.271
2 Na 0.347 0.392 0.733
3 Na 0.653 0.608 0.267
4 Na 0.924 0.771 0.729
5 Se 0.146 0.716 0.258
6 Se 0.397 0.856 0.816
7 Se 0.603 0.144 0.184
8 Se 0.854 0.284 0.742
9 O 0.003 0.399 0.809
10 O 0.040 0.866 0.370
11 O 0.251 0.907 0.028
12 O 0.267 0.717 0.760
13 O 0.321 0.556 0.371
14 O 0.400 0.263 0.094
15 O 0.412 0.093 0.656
16 O 0.588 0.907 0.344
17 O 0.600 0.737 0.906
18 O 0.679 0.444 0.629
19 O 0.733 0.283 0.240
20 O 0.749 0.093 0.972
21 O 0.960 0.134 0.630
22 O 0.997 0.601 0.191

***

#ii
VASP calculation (GGA-PBE) on a relaxed structure of Na2Se2O7.

Values from the calculation:
DOS(E_F): 0.000 states/eV per atom
M_tot: 0.000 μB/atom

a b c (Å): 6.162 6.162 10.262
angles (deg): 100.61 100.61 102.27
Element x y z (fractional)
1 Na 0.156 0.779 0.512
2 Na 0.221 0.844 0.988
3 Na 0.779 0.156 0.012
4 Na 0.844 0.221 0.488
5 Se 0.282 0.327 0.287
6 Se 0.327 0.282 0.787
7 Se 0.673 0.718 0.213
8 Se 0.718 0.673 0.713
9 O 0.108 0.407 0.379
10 O 0.146 0.156 0.138
11 O 0.156 0.146 0.638
12 O 0.243 0.492 0.868
13 O 0.395 0.605 0.250
14 O 0.407 0.108 0.879
15 O 0.492 0.243 0.368
16 O 0.508 0.757 0.632
17 O 0.593 0.892 0.121
18 O 0.605 0.395 0.750
19 O 0.757 0.508 0.132
20 O 0.844 0.854 0.362
21 O 0.854 0.844 0.862
22 O 0.892 0.593 0.621

***

Result of the stability comparison: #ii is the least stable of them.

***

#i
VASP calculation (GGA-PBE) on a relaxed structure of NaSe2O6.

Values from the calculation:
DOS(E_F): 0.079 states/eV per atom
M_tot: 0.112 μB/atom

a b c (Å): 5.889 5.541 11.131
angles (deg): 90.00 105.33 90.00
Element x y z (fractional)
1 Na 0.000 0.045 0.000
2 Na 0.000 0.955 0.500
3 Se 0.266 0.387 0.748
4 Se 0.266 0.613 0.248
5 Se 0.598 0.049 0.205
6 Se 0.598 0.951 0.705
7 O 0.130 0.332 0.601
8 O 0.130 0.668 0.101
9 O 0.142 0.251 0.848
10 O 0.142 0.749 0.348
11 O 0.332 0.180 0.180
12 O 0.332 0.820 0.680
13 O 0.564 0.243 0.776
14 O 0.564 0.757 0.276
15 O 0.662 0.004 0.573
16 O 0.662 0.996 0.073
17 O 0.803 0.178 0.316
18 O 0.803 0.822 0.816

***

#ii
VASP calculation (GGA-PBE) on a relaxed structure of NaSe2O6.

Values from the calculation:
DOS(E_F): 0.354 states/eV per atom
M_tot: 0.000 μB/atom

a b c (Å): 5.595 5.583 10.965
angles (deg): 90.00 107.00 90.00
Element x y z (fractional)
1 Na 0.000 0.000 0.000
2 Na 0.000 0.500 0.500
3 Se 0.333 0.247 0.281
4 Se 0.333 0.253 0.781
5 Se 0.667 0.747 0.219
6 Se 0.667 0.753 0.719
7 O 0.086 0.189 0.661
8 O 0.086 0.311 0.161
9 O 0.301 0.212 0.924
10 O 0.301 0.288 0.424
11 O 0.398 0.603 0.731
12 O 0.398 0.897 0.231
13 O 0.602 0.103 0.769
14 O 0.602 0.397 0.269
15 O 0.699 0.712 0.576
16 O 0.699 0.788 0.076
17 O 0.914 0.689 0.839
18 O 0.914 0.811 0.339

***

Result of the stability comparison: #ii is the least stable of them.

***

#i
VASP calculation (GGA-PBE) on a relaxed structure of NaYSe2O6.

Values from the calculation:
DOS(E_F): 0.000 states/eV per atom
M_tot: 0.000 μB/atom

a b c (Å): 12.923 8.757 5.470
angles (deg): 90.00 90.00 90.00
Element x y z (fractional)
1 Na 0.117 0.014 0.000
2 Na 0.383 0.514 0.500
3 Na 0.617 0.486 0.000
4 Na 0.883 0.986 0.500
5 Y 0.087 0.674 0.444
6 Y 0.413 0.174 0.944
7 Y 0.587 0.826 0.444
8 Y 0.913 0.326 0.944
9 Se 0.080 0.268 0.497
10 Se 0.203 0.469 0.950
11 Se 0.297 0.969 0.450
12 Se 0.420 0.768 0.997
13 Se 0.580 0.232 0.497
14 Se 0.703 0.031 0.950
15 Se 0.797 0.531 0.450
16 Se 0.920 0.732 0.997
17 O 0.013 0.153 0.697
18 O 0.016 0.438 0.583
19 O 0.026 0.222 0.220
20 O 0.175 0.899 0.398
21 O 0.204 0.625 0.758
22 O 0.216 0.548 0.240
23 O 0.284 0.048 0.740
24 O 0.296 0.125 0.258
25 O 0.325 0.399 0.898
26 O 0.474 0.722 0.720
27 O 0.484 0.938 0.083
28 O 0.487 0.653 0.197
29 O 0.513 0.347 0.697
30 O 0.516 0.062 0.583
31 O 0.526 0.278 0.220
32 O 0.675 0.601 0.398
33 O 0.704 0.875 0.758
34 O 0.716 0.952 0.240
35 O 0.784 0.452 0.740
36 O 0.796 0.375 0.258
37 O 0.825 0.101 0.898
38 O 0.974 0.778 0.720
39 O 0.984 0.562 0.083
40 O 0.987 0.847 0.197

***

#ii
VASP calculation (GGA-PBE) on a relaxed structure of NaYSe2O6.

Values from the calculation:
DOS(E_F): 0.000 states/eV per atom
M_tot: 0.000 μB/atom

a b c (Å): 6.770 6.770 6.770
angles (deg): 47.31 47.31 47.31
Element x y z (fractional)
1 Na 0.000 0.000 0.000
2 Y 0.500 0.500 0.500
3 Se 0.281 0.281 0.281
4 Se 0.719 0.719 0.719
5 O 0.059 0.475 0.740
6 O 0.260 0.941 0.525
7 O 0.475 0.740 0.059
8 O 0.525 0.260 0.941
9 O 0.740 0.059 0.475
10 O 0.941 0.525 0.260

***

Result of the stability comparison: #ii is the least stable of them.

***

#i
VASP calculation (GGA-PBE) on a relaxed structure of Na2SiO.

Values from the calculation:
DOS(E_F): 0.438 states/eV per atom
M_tot: 0.000 μB/atom

a b c (Å): 7.053 7.053 7.053
angles (deg): 93.96 93.96 149.53
Element x y z (fractional)
1 Na 0.375 0.207 0.332
2 Na 0.793 0.125 0.168
3 Na 0.875 0.043 0.668
4 Na 0.957 0.625 0.832
5 Si 0.250 0.750 0.500
6 Si 0.500 0.500 0.000
7 O 0.000 0.000 0.000
8 O 0.750 0.250 0.500

***

#ii
VASP calculation (GGA-PBE) on a relaxed structure of Na2SiO.

Values from the calculation:
DOS(E_F): 0.730 states/eV per atom
M_tot: 0.041 μB/atom

a b c (Å): 4.648 4.648 4.648
angles (deg): 60.00 60.00 60.00
Element x y z (fractional)
1 Na 0.250 0.250 0.250
2 Na 0.750 0.750 0.750
3 Si 0.000 0.000 0.000
4 O 0.500 0.500 0.500

***

Result of the stability comparison: #ii is the least stable of them.

***

#i
VASP calculation (GGA-PBE) on a relaxed structure of NaSmSiO4.

Values from the calculation:
DOS(E_F): 0.000 states/eV per atom
M_tot: 0.000 μB/atom

a b c (Å): 5.906 5.539 6.928
angles (deg): 90.00 92.31 90.00
Element x y z (fractional)
1 Na 0.087 0.250 0.140
2 Na 0.913 0.750 0.860
3 Sm 0.304 0.250 0.581
4 Sm 0.696 0.750 0.419
5 Si 0.188 0.750 0.341
6 Si 0.812 0.250 0.659
7 O 0.028 0.250 0.815
8 O 0.084 0.750 0.559
9 O 0.361 0.516 0.323
10 O 0.361 0.984 0.323
11 O 0.639 0.016 0.677
12 O 0.639 0.484 0.677
13 O 0.916 0.250 0.441
14 O 0.972 0.750 0.185

***

#ii
VASP calculation (GGA-PBE) on a relaxed structure of NaSmSiO4.

Values from the calculation:
DOS(E_F): 0.000 states/eV per atom
M_tot: 0.000 μB/atom

a b c (Å): 8.853 8.853 8.853
angles (deg): 95.31 95.31 144.59
Element x y z (fractional)
1 Na 0.087 0.607 0.694
2 Na 0.393 0.087 0.480
3 Na 0.607 0.913 0.520
4 Na 0.913 0.393 0.306
5 Sm 0.122 0.191 0.313
6 Sm 0.191 0.878 0.070
7 Sm 0.809 0.122 0.930
8 Sm 0.878 0.809 0.687
9 Si 0.262 0.402 0.664
10 Si 0.402 0.738 0.141
11 Si 0.598 0.262 0.859
12 Si 0.738 0.598 0.336
13 O 0.049 0.203 0.766
14 O 0.122 0.397 0.519
15 O 0.203 0.437 0.154
16 O 0.270 0.695 0.964
17 O 0.283 0.049 0.846
18 O 0.305 0.270 0.575
19 O 0.397 0.878 0.275
20 O 0.437 0.283 0.234
21 O 0.563 0.717 0.766
22 O 0.603 0.122 0.725
23 O 0.695 0.730 0.425
24 O 0.717 0.951 0.154
25 O 0.730 0.305 0.036
26 O 0.797 0.563 0.846
27 O 0.878 0.603 0.481
28 O 0.951 0.797 0.234

***

Result of the stability comparison: #i is the least stable of them.

***

#i
VASP calculation (GGA-PBE) on a relaxed structure of NaTbSi2O6.

Values from the calculation:
DOS(E_F): 0.000 states/eV per atom
M_tot: 0.000 μB/atom

a b c (Å): 5.537 9.460 9.799
angles (deg): 117.29 97.08 99.93
Element x y z (fractional)
1 Na 0.000 0.000 0.000
2 Na 0.170 0.602 0.935
3 Na 0.830 0.398 0.065
4 Tb 0.000 0.500 0.500
5 Tb 0.319 0.778 0.366
6 Tb 0.681 0.222 0.634
7 Si 0.108 0.119 0.365
8 Si 0.227 0.237 0.874
9 Si 0.394 0.362 0.251
10 Si 0.606 0.638 0.749
11 Si 0.773 0.763 0.126
12 Si 0.892 0.881 0.635
13 O 0.018 0.321 0.834
14 O 0.033 0.756 0.516
15 O 0.104 0.035 0.789
16 O 0.249 0.287 0.063
17 O 0.260 0.212 0.282
18 O 0.297 0.525 0.357
19 O 0.302 0.051 0.445
20 O 0.307 0.611 0.724
21 O 0.496 0.281 0.838
22 O 0.504 0.719 0.162
23 O 0.693 0.389 0.276
24 O 0.698 0.949 0.555
25 O 0.703 0.475 0.643
26 O 0.740 0.788 0.718
27 O 0.751 0.713 0.937
28 O 0.896 0.965 0.211
29 O 0.967 0.244 0.484
30 O 0.982 0.679 0.166

***

#ii
VASP calculation (GGA-PBE) on a relaxed structure of NaTbSi2O6.

Values from the calculation:
DOS(E_F): 0.000 states/eV per atom
M_tot: 0.000 μB/atom

a b c (Å): 6.651 6.651 6.680
angles (deg): 97.49 97.49 112.83
Element x y z (fractional)
1 Na 0.039 0.961 0.750
2 Na 0.961 0.039 0.250
3 Tb 0.412 0.588 0.250
4 Tb 0.588 0.412 0.750
5 Si 0.168 0.490 0.628
6 Si 0.490 0.168 0.128
7 Si 0.510 0.832 0.872
8 Si 0.832 0.510 0.372
9 O 0.062 0.472 0.346
10 O 0.206 0.262 0.600
11 O 0.262 0.206 0.100
12 O 0.299 0.591 0.900
13 O 0.409 0.701 0.600
14 O 0.472 0.062 0.846
15 O 0.528 0.938 0.154
16 O 0.591 0.299 0.400
17 O 0.701 0.409 0.100
18 O 0.738 0.794 0.900
19 O 0.794 0.738 0.400
20 O 0.938 0.528 0.654

***

Result of the stability comparison: #ii is the least stable of them.